{
  "formula": "ScCdPt2",
  "functional": "PBE-GGA",
  "state": "optimized geometry",
  "lattice_angstrom": [[4.982, -1.671, -3.115], [-1.359, 5.076, 3.115], [-3.510, 0.106, 4.998]],
  "species": ["Pt", "Pt", "Sc", "Cd"],
  "fractional_positions": [[0.000, 0.760, 0.760], [0.000, 0.240, 0.240], [0.000, 0.000, 0.000], [0.000, 0.500, 0.500]],
  "e_tot_ev_per_cell": -19.70,
  "formation_enthalpy_0k_mev_per_atom": -93
}